# 1
DFT (PBE-GGA) results for Be2NbHgBr after structural relaxation.

Cell lengths 4.382, 4.382, 4.875 Å; angles 90.00, 90.00, 90.00 degrees
Space group P4/mmm (No. 123)
Symmetry-distinct sites (fractional):
1 Be 0.000 0.500 0.000 x2
2 Nb 0.000 0.000 0.500 x1
3 Hg 0.500 0.500 0.500 x1
4 Br 0.000 0.000 0.000 x1

Computed properties:
Total DFT energy (no corrections)   -13.12 eV per cell
Crystal system   tetragonal
Energy relative to the elements, uncorrected   1.2749 eV/atom



# 2
DFT (PBE-GGA) results for BeHgBrO2 after structural relaxation.

Cell lengths 3.787, 3.787, 6.511 Å; angles 90.00, 90.00, 90.00 degrees
Space group P4/mmm (No. 123)
Symmetry-distinct sites (fractional):
1 Be 0.000 0.000 0.000 x1
2 Hg 0.500 0.500 0.000 x1
3 Br 0.500 0.500 0.500 x1
4 O 0.000 0.500 0.500 x2

Computed properties:
Total DFT energy (no corrections)   -11.71 eV per cell
Crystal system   tetragonal
Energy relative to the elements, uncorrected   0.7818 eV/atom



# 3
DFT (PBE-GGA) results for BeHg2BrO after structural relaxation.

Cell lengths 7.900, 7.900, 4.412 Å; angles 90.00, 90.00, 90.00 degrees
Space group P4/mmm (No. 123)
Symmetry-distinct sites (fractional):
1 Be 0.000 0.000 0.000 x1
2 Hg 0.000 0.500 0.500 x2
3 Br 0.000 0.000 0.500 x1
4 O 0.500 0.500 0.000 x1

Computed properties:
Total DFT energy (no corrections)   -6.66 eV per cell
Crystal system   tetragonal
Energy relative to the elements, uncorrected   0.8602 eV/atom



# 4
DFT (PBE-GGA) results for BeHgOsBr2 after structural relaxation.

Cell lengths 5.534, 5.534, 5.449 Å; angles 90.00, 90.00, 90.00 degrees
Space group P4/mmm (No. 123)
Symmetry-distinct sites (fractional):
1 Be 0.000 0.000 0.000 x1
2 Hg 0.500 0.500 0.500 x1
3 Os 0.500 0.500 0.000 x1
4 Br 0.000 0.500 0.500 x2

Computed properties:
Total DFT energy (no corrections)   -9.61 eV per cell
Crystal system   tetragonal
Energy relative to the elements, uncorrected   1.7993 eV/atom



# 5
DFT (PBE-GGA) results for BeHgPBr2 after structural relaxation.

Cell lengths 5.161, 5.161, 5.249 Å; angles 90.00, 90.00, 90.00 degrees
Space group P4/mmm (No. 123)
Symmetry-distinct sites (fractional):
1 Be 0.000 0.000 0.000 x1
2 Hg 0.500 0.500 0.000 x1
3 P 0.500 0.500 0.500 x1
4 Br 0.000 0.500 0.500 x2

Computed properties:
Total DFT energy (no corrections)   -9.74 eV per cell
Crystal system   tetragonal
Energy relative to the elements, uncorrected   0.6095 eV/atom



# 6
DFT (PBE-GGA) results for BeHgRh2Br after structural relaxation.

Cell lengths 4.383, 4.383, 4.563 Å; angles 90.00, 90.00, 90.00 degrees
Space group P4/mmm (No. 123)
Symmetry-distinct sites (fractional):
1 Be 0.000 0.000 0.000 x1
2 Hg 0.000 0.000 0.500 x1
3 Rh 0.000 0.500 0.000 x2
4 Br 0.500 0.500 0.500 x1

Computed properties:
Total DFT energy (no corrections)   -17.77 eV per cell
Crystal system   tetragonal
Energy relative to the elements, uncorrected   0.5268 eV/atom



# 7
DFT (PBE-GGA) results for BeHgSe2Br after structural relaxation.

Cell lengths 5.290, 5.290, 5.375 Å; angles 90.00, 90.00, 90.00 degrees
Space group P4/mmm (No. 123)
Symmetry-distinct sites (fractional):
1 Be 0.000 0.000 0.000 x1
2 Hg 0.500 0.500 0.500 x1
3 Se 0.000 0.500 0.500 x2
4 Br 0.500 0.500 0.000 x1

Computed properties:
Total DFT energy (no corrections)   -7.71 eV per cell
Crystal system   tetragonal
Energy relative to the elements, uncorrected   0.9916 eV/atom



# 8
DFT (PBE-GGA) results for BeHgSe2Br after structural relaxation.

Cell lengths 4.835, 4.835, 4.671 Å; angles 90.00, 90.00, 90.00 degrees
Space group P4/mmm (No. 123)
Symmetry-distinct sites (fractional):
1 Be 0.000 0.000 0.000 x1
2 Hg 0.500 0.500 0.500 x1
3 Se 0.000 0.500 0.000 x2
4 Br 0.000 0.000 0.500 x1

Computed properties:
Total DFT energy (no corrections)   -11.74 eV per cell
Crystal system   tetragonal
Energy relative to the elements, uncorrected   0.1862 eV/atom